No. 1
VASP calculation (GGA-PBE) on crystalline Hg2SbP at its relaxed geometry.

Structure (POSCAR):
```
Hg2SbP
1.0
7.1933 0.0000 0.0000
0.0000 7.1933 0.0000
0.0000 0.0000 7.1933
Hg Sb P
8 4 4
Cartesian
1.7983 1.7983 1.7983 Hg
1.7983 1.7983 5.3950 Hg
1.7983 5.3950 1.7983 Hg
1.7983 5.3950 5.3950 Hg
5.3950 1.7983 1.7983 Hg
5.3950 1.7983 5.3950 Hg
5.3950 5.3950 1.7983 Hg
5.3950 5.3950 5.3950 Hg
0.0000 0.0000 0.0000 Sb
0.0000 3.5967 3.5967 Sb
3.5967 0.0000 3.5967 Sb
3.5967 3.5967 0.0000 Sb
0.0000 0.0000 3.5967 P
0.0000 3.5967 0.0000 P
3.5967 0.0000 0.0000 P
3.5967 3.5967 3.5967 P
```

Properties
- size of the total moment (Bohr magnetons per cell) = 0.00
- ΔE_f (raw) (eV per formula unit) = 2.24
- polymorph energy (0 for the lowest one) (kJ/mol of atoms) = 45.9

***

No. 2
VASP calculation (GGA-PBE) on crystalline Li4Ho3HfS8 at its relaxed geometry.

Structure (POSCAR):
```
Li4Ho3HfS8
1.0
3.8115 2.2006 6.1713
-3.8115 2.2006 6.1713
0.0000 -4.4012 6.1713
Li Ho Hf S
4 3 1 8
Cartesian
0.0000 0.0000 0.0000 Li
-1.9058 -1.1003 6.1713 Li
-1.9058 1.1003 12.3426 Li
0.0000 2.2006 6.1713 Li
-3.8115 0.0000 9.2570 Ho
-1.9058 1.1003 3.0857 Ho
1.9058 1.1003 3.0857 Ho
0.0000 0.0000 9.2570 Hf
0.0000 0.0000 4.6590 S
0.0000 -2.1053 7.7255 S
-1.8233 1.0527 7.7255 S
-1.8233 -1.0527 10.7885 S
1.8233 1.0527 7.7255 S
1.8233 -1.0527 10.7885 S
0.0000 2.1053 10.7885 S
0.0000 0.0000 13.8550 S
```

Properties
- size of the total moment (Bohr magnetons per cell) = 0.00
- ΔE_f (raw) (eV per formula unit) = -27.95

***

No. 3
VASP calculation (GGA-PBE) on crystalline NdHoTl2 at its relaxed geometry.

Structure (POSCAR):
```
NdHoTl2
1.0
3.8380 0.0000 0.0000
0.0000 3.8380 0.0000
0.0000 0.0000 7.6793
Nd Ho Tl
1 1 2
Cartesian
0.0000 0.0000 0.0000 Nd
0.0000 0.0000 3.8397 Ho
1.9190 1.9190 2.0187 Tl
1.9190 1.9190 5.6606 Tl
```

Properties
- size of the total moment (Bohr magnetons per cell) = 0.00
- formation enthalpy at 0 K (kJ per mole of atoms) = -35

***

No. 4
VASP calculation (GGA-PBE) on crystalline CsNbPCl2 at its relaxed geometry.

Structure (POSCAR):
```
CsNbPCl2
1.0
5.1911 0.0000 0.0000
0.0000 5.1911 0.0000
0.0000 0.0000 4.8732
Cs Nb P Cl
1 1 1 2
Cartesian
0.0000 0.0000 0.0000 Cs
2.5956 2.5956 2.4366 Nb
2.5956 2.5956 0.0000 P
0.0000 2.5956 2.4366 Cl
2.5956 0.0000 2.4366 Cl
```

Properties
- size of the total moment (Bohr magnetons per cell) = 0.22
- ΔE_f (raw) (eV per formula unit) = -4.28

***

No. 5
VASP calculation (GGA-PBE) on crystalline BaCa3Pt at its relaxed geometry.

Structure (POSCAR):
```
BaCa3Pt
1.0
5.5605 0.0000 0.0000
0.0000 5.5605 0.0000
0.0000 0.0000 5.5605
Ba Ca Pt
1 3 1
Cartesian
0.0000 0.0000 0.0000 Ba
0.0000 0.0000 2.7802 Ca
0.0000 2.7802 0.0000 Ca
2.7802 0.0000 0.0000 Ca
2.7802 2.7802 2.7802 Pt
```

Properties
- size of the total moment (Bohr magnetons per cell) = 0.00
- formation enthalpy at 0 K (kJ per mole of atoms) = 126
- polymorph energy (0 for the lowest one) (kJ/mol of atoms) = 170.3

***

No. 6
VASP calculation (GGA-PBE) on crystalline Pr2ScGaO6 at its relaxed geometry.

Structure (POSCAR):
```
Pr2ScGaO6
1.0
5.5757 0.0000 0.0000
0.0000 5.7276 0.0000
-5.5340 0.0000 7.9750
Pr Sc Ga O
4 2 2 12
Cartesian
-0.0652 0.2900 1.9892 Pr
-2.8322 2.5739 5.9767 Pr
2.8739 3.1538 1.9983 Pr
0.1069 5.4377 5.9858 Pr
2.7878 0.0000 0.0000 Sc
0.0208 2.8638 3.9875 Sc
-2.7670 0.0000 3.9875 Ga
0.0000 2.8638 0.0000 Ga
-4.4165 1.2074 7.5707 O
-1.6495 1.6565 3.5832 O
-3.9312 4.0184 7.5782 O
-1.1642 4.5731 3.5907 O
-2.2330 0.1633 5.9372 O
0.5341 2.7005 1.9497 O
-0.4924 3.0271 6.0253 O
2.2746 5.5644 2.0378 O
1.2058 1.1546 4.3843 O
3.9728 1.7092 0.3968 O
1.6911 4.0712 4.3918 O
4.4581 4.5203 0.4043 O
```

Properties
- size of the total moment (Bohr magnetons per cell) = 0.00
- ΔE_f (raw) (eV per formula unit) = -30.40

***

No. 7
VASP calculation (GGA-PBE) on crystalline TiNb2HPt at its relaxed geometry.

Structure (POSCAR):
```
TiNb2HPt
1.0
4.7350 0.0000 0.0000
0.0000 4.7350 0.0000
0.0000 0.0000 4.5976
Ti Nb H Pt
1 2 1 1
Cartesian
0.0000 0.0000 0.0000 Ti
0.0000 2.3675 0.0000 Nb
2.3675 0.0000 0.0000 Nb
2.3675 2.3675 2.2988 H
0.0000 0.0000 2.2988 Pt
```

Properties
- size of the total moment (Bohr magnetons per cell) = 0.00
- polymorph energy (0 for the lowest one) (kJ/mol of atoms) = 187.9

***

No. 8
VASP calculation (GGA-PBE) on crystalline YAgS2 at its relaxed geometry.

Structure (POSCAR):
```
YAgS2
1.0
3.9278 0.0000 0.0000
-1.9639 3.4015 0.0000
0.0000 0.0000 6.5298
Y Ag S
1 1 2
Cartesian
0.0000 0.0000 0.0000 Y
0.0000 0.0000 3.2649 Ag
0.0000 2.2677 4.9638 S
1.9639 1.1338 1.5660 S
```

Properties
- size of the total moment (Bohr magnetons per cell) = 0.00
- ΔE_f (raw) (eV per formula unit) = -5.13